The following is a GGA-PBEsol calculation of an optimized crystal structure of Si2PAu2, from Alexandria.

Cell: 6.0879 6.0879 6.0879 Å, 141.63 141.63 55.39°
Atoms (fractional coordinates):
Si: 0.1052 0.1052 0.0000
Si: 0.8948 0.8948 0.0000
P: 0.5000 0.5000 0.0000
Au: 0.2500 0.7500 0.5000
Au: 0.7500 0.2500 0.5000

- SG: I4/mmm (139)
- Electronic total energy: -4.64 eV/atom
- Energy relative to the elements, uncorrected: 0.39 eV/atom

---

The following is a GGA-PBEsol calculation of an optimized crystal structure of SiP3Au, from Alexandria.

Cell: 4.4246 4.4246 4.4246 Å, 90.00 90.00 90.00°
Atoms (fractional coordinates):
Si: 0.0000 0.0000 0.0000
P: 0.0000 0.0000 0.5000
P: 0.0000 0.5000 0.0000
P: 0.5000 0.0000 0.0000
Au: 0.5000 0.5000 0.5000

- SG: Pm-3m (221)
- Electronic total energy: -4.59 eV/atom
- Energy relative to the elements, uncorrected: 0.81 eV/atom

---

The following is a GGA-PBEsol calculation of an optimized crystal structure of Ti2SiPAu, from Alexandria.

Cell: 4.6207 4.6207 4.2852 Å, 90.00 90.00 90.00°
Atoms (fractional coordinates):
Ti: 0.0000 0.5000 0.0000
Ti: 0.5000 0.0000 0.0000
Si: 0.0000 0.0000 0.0000
P: 0.0000 0.0000 0.5000
Au: 0.5000 0.5000 0.5000

- SG: P4/mmm (123)
- Electronic total energy: -5.97 eV/atom
- Energy relative to the elements, uncorrected: 0.45 eV/atom

---

The following is a GGA-PBEsol calculation of an optimized crystal structure of Sn3PAu, from Alexandria.

Cell: 5.0066 5.0066 5.0066 Å, 90.00 90.00 90.00°
Atoms (fractional coordinates):
Sn: 0.0000 0.0000 0.5000
Sn: 0.0000 0.5000 0.0000
Sn: 0.5000 0.0000 0.0000
P: 0.0000 0.0000 0.0000
Au: 0.5000 0.5000 0.5000

- SG: Pm-3m (221)
- Electronic total energy: -3.94 eV/atom
- Formation energy: 0.560 eV/atom

---

The following is a GGA-PBEsol calculation of an optimized crystal structure of SnP7Au3, from Alexandria.

Cell: 6.2745 10.9357 6.4168 Å, 90.00 108.75 90.00°
Atoms (fractional coordinates):
Sn: 0.1881 0.2500 0.4563
Sn: 0.8119 0.7500 0.5437
P: 0.2174 0.5933 0.3040
P: 0.2174 0.9067 0.3040
P: 0.2380 0.7500 0.7885
P: 0.2979 0.0885 0.2061
P: 0.2979 0.4115 0.2061
P: 0.3340 0.5770 0.6665
P: 0.3340 0.9230 0.6665
P: 0.6660 0.0770 0.3335
P: 0.6660 0.4230 0.3335
P: 0.7021 0.5885 0.7939
P: 0.7021 0.9115 0.7939
P: 0.7620 0.2500 0.2115
P: 0.7826 0.0933 0.6960
P: 0.7826 0.4067 0.6960
Au: 0.1870 0.1001 0.8113
Au: 0.1870 0.3999 0.8113
Au: 0.4288 0.7500 0.1840
Au: 0.5712 0.2500 0.8160
Au: 0.8130 0.6001 0.1887
Au: 0.8130 0.8999 0.1887

- SG: P2_1/m (11)
- Electronic total energy: -5.27 eV/atom
- Formation energy: -0.125 eV/atom

---

The following is a GGA-PBEsol calculation of an optimized crystal structure of Sr2PAu, from Alexandria.

Cell: 4.4163 6.0466 6.0466 Å, 41.04 90.00 90.00°
Atoms (fractional coordinates):
Sr: 0.0000 0.0000 0.0000
Sr: 0.5000 0.2765 0.2765
P: 0.0000 0.7164 0.7164
Au: 0.5000 0.5648 0.5648

- SG: Amm2 (38)
- Electronic total energy: -4.22 eV/atom
- Formation energy: -0.876 eV/atom

---

The following is a GGA-PBEsol calculation of an optimized crystal structure of Sr2PAu, from Alexandria.

Cell: 7.4159 7.4159 7.4159 Å, 35.07 35.07 35.07°
Atoms (fractional coordinates):
Sr: 0.2397 0.2397 0.2397
Sr: 0.7603 0.7603 0.7603
P: 0.5000 0.5000 0.5000
Au: 0.0000 0.0000 0.0000

- SG: R-3m (166)
- Electronic total energy: -4.17 eV/atom
- Formation energy: -0.818 eV/atom

---

The following is a GGA-PBEsol calculation of an optimized crystal structure of SrP2Au, from Alexandria.

Cell: 3.4203 3.4203 6.8056 Å, 90.00 90.00 90.00°
Atoms (fractional coordinates):
Sr: 0.0000 0.0000 0.0000
P: 0.0000 0.0000 0.5529
P: 0.5000 0.5000 0.6629
Au: 0.5000 0.5000 0.2846

- SG: P4mm (99)
- Electronic total energy: -4.55 eV/atom
- Formation energy: -0.209 eV/atom

---

The following is a GGA-PBEsol calculation of an optimized crystal structure of Sr2PAu, from Alexandria.

Cell: 5.1445 5.1445 5.1445 Å, 60.00 60.00 60.00°
Atoms (fractional coordinates):
Sr: 0.0000 0.0000 0.0000
Sr: 0.2500 0.2500 0.2500
P: 0.5000 0.5000 0.5000
Au: 0.7500 0.7500 0.7500

- SG: F-43m (216)
- Electronic total energy: -3.63 eV/atom
- Formation energy: -0.279 eV/atom

---

The following is a GGA-PBEsol calculation of an optimized crystal structure of Sr2PAu, from Alexandria.

Cell: 6.1420 6.1420 6.1420 Å, 138.47 138.47 60.19°
Atoms (fractional coordinates):
Sr: 0.0000 0.0000 0.0000
Sr: 0.7500 0.2500 0.5000
P: 0.2500 0.7500 0.5000
Au: 0.5000 0.5000 0.0000

- SG: I-4m2 (119)
- Electronic total energy: -3.97 eV/atom
- Formation energy: -0.620 eV/atom

---

The following is a GGA-PBEsol calculation of an optimized crystal structure of TaP2Au2, from Alexandria.

Cell: 8.7625 8.7625 8.7625 Å, 159.24 159.24 29.53°
Atoms (fractional coordinates):
Ta: 0.0000 0.0000 0.0000
P: 0.2500 0.7500 0.5000
P: 0.7500 0.2500 0.5000
Au: 0.3963 0.3963 0.0000
Au: 0.6037 0.6037 0.0000

- SG: I4/mmm (139)
- Electronic total energy: -6.11 eV/atom
- Formation energy: 0.284 eV/atom

---

The following is a GGA-PBEsol calculation of an optimized crystal structure of TcP4Au, from Alexandria.

Cell: 4.9451 4.9451 4.9451 Å, 60.00 60.00 60.00°
Atoms (fractional coordinates):
Tc: 0.0000 0.0000 0.0000
P: 0.1237 0.6254 0.6254
P: 0.6254 0.1237 0.6254
P: 0.6254 0.6254 0.1237
P: 0.6254 0.6254 0.6254
Au: 0.2500 0.2500 0.2500

- SG: F-43m (216)
- Electronic total energy: -5.65 eV/atom
- Formation energy: 0.745 eV/atom

---

The following is a GGA-PBEsol calculation of an optimized crystal structure of Tc3PAu, from Alexandria.

Cell: 4.7761 4.7761 4.7761 Å, 90.00 90.00 90.00°
Atoms (fractional coordinates):
Tc: 0.0000 0.0000 0.5000
Tc: 0.0000 0.5000 0.0000
Tc: 0.5000 0.0000 0.0000
P: 0.5000 0.5000 0.5000
Au: 0.0000 0.0000 0.0000

- SG: Pm-3m (221)
- Electronic total energy: -6.03 eV/atom
- Formation energy: 2.674 eV/atom

---

The following is a GGA-PBEsol calculation of an optimized crystal structure of TlPAu2, from Alexandria.

Cell: 4.4813 4.4813 4.9470 Å, 90.00 90.00 90.00°
Atoms (fractional coordinates):
Tl: 0.0000 0.0000 0.0000
P: 0.5000 0.5000 0.5000
Au: 0.0000 0.5000 0.3689
Au: 0.5000 0.0000 0.6311

- SG: P-4m2 (115)
- Electronic total energy: -4.03 eV/atom
- Formation energy: 0.036 eV/atom

---

The following is a GGA-PBEsol calculation of an optimized crystal structure of TlPAu2, from Alexandria.

Cell: 3.4376 3.4376 7.3727 Å, 90.00 90.00 90.00°
Atoms (fractional coordinates):
Tl: 0.0000 0.0000 0.0000
P: 0.5000 0.5000 0.5418
Au: 0.0000 0.0000 0.6123
Au: 0.5000 0.5000 0.2241

- SG: P4mm (99)
- Electronic total energy: -3.92 eV/atom
- Formation energy: 0.146 eV/atom

---

The following is a GGA-PBEsol calculation of an optimized crystal structure of PW2Au, from Alexandria.

Cell: 4.3753 4.3753 4.3753 Å, 60.00 60.00 60.00°
Atoms (fractional coordinates):
P: 0.0000 0.0000 0.0000
W: 0.2500 0.2500 0.2500
W: 0.7500 0.7500 0.7500
Au: 0.5000 0.5000 0.5000

- SG: Fm-3m (225)
- Electronic total energy: -8.97 eV/atom
- Formation energy: 0.363 eV/atom

---

The following is a GGA-PBEsol calculation of an optimized crystal structure of YP3Au, from Alexandria.

Cell: 5.1099 5.1099 5.1099 Å, 90.00 90.00 90.00°
Atoms (fractional coordinates):
Y: 0.0000 0.0000 0.0000
P: 0.0000 0.0000 0.5000
P: 0.0000 0.5000 0.0000
P: 0.5000 0.0000 0.0000
Au: 0.5000 0.5000 0.5000

- SG: Pm-3m (221)
- Electronic total energy: -4.57 eV/atom
- Formation energy: 1.053 eV/atom

---

The following is a GGA-PBEsol calculation of an optimized crystal structure of Y2PAu, from Alexandria.

Cell: 3.5044 3.5198 6.8200 Å, 90.00 92.78 90.00°
Atoms (fractional coordinates):
Y: 0.0245 0.0000 0.2663
Y: 0.9755 0.0000 0.7337
P: 0.5000 0.5000 0.5000
Au: 0.5000 0.5000 0.0000

- SG: P2/m (10)
- Electronic total energy: -6.87 eV/atom
- Formation energy: -1.032 eV/atom

---

The following is a GGA-PBEsol calculation of an optimized crystal structure of YPAu2, from Alexandria.

Cell: 3.8009 4.2256 5.1000 Å, 90.00 106.74 90.00°
Atoms (fractional coordinates):
Y: 0.0000 0.0000 0.0000
P: 0.5000 0.0000 0.5000
Au: 0.3407 0.5000 0.7218
Au: 0.6593 0.5000 0.2782

- SG: P2/m (10)
- Electronic total energy: -5.73 eV/atom
- Formation energy: -0.613 eV/atom

---

The following is a GGA-PBEsol calculation of an optimized crystal structure of YPAu2, from Alexandria.

Cell: 3.7744 3.7744 5.4481 Å, 90.00 90.00 90.00°
Atoms (fractional coordinates):
Y: 0.0000 0.0000 0.0000
P: 0.0000 0.0000 0.5000
Au: 0.5000 0.5000 0.2553
Au: 0.5000 0.5000 0.7447

- SG: P4/mmm (123)
- Electronic total energy: -5.63 eV/atom
- Formation energy: -0.514 eV/atom

---

The following is a GGA-PBEsol calculation of an optimized crystal structure of YPAu2, from Alexandria.

Cell: 5.6865 5.6865 5.6865 Å, 43.54 43.54 43.54°
Atoms (fractional coordinates):
Y: 0.0000 0.0000 0.0000
P: 0.5000 0.5000 0.5000
Au: 0.2252 0.2252 0.2252
Au: 0.7748 0.7748 0.7748

- SG: R-3m (166)
- Electronic total energy: -5.61 eV/atom
- Formation energy: -0.498 eV/atom

---

The following is a GGA-PBEsol calculation of an optimized crystal structure of Zn2PAu, from Alexandria.

Cell: 4.7676 4.7676 4.7676 Å, 131.03 131.03 71.77°
Atoms (fractional coordinates):
Zn: 0.2500 0.7500 0.5000
Zn: 0.7500 0.2500 0.5000
P: 0.0000 0.0000 0.0000
Au: 0.5000 0.5000 0.0000

- SG: I4/mmm (139)
- Electronic total energy: -3.13 eV/atom
- Formation energy: 0.091 eV/atom

---

The following is a GGA-PBEsol calculation of an optimized crystal structure of Zn2PAu, from Alexandria.

Cell: 4.4471 4.4471 4.4471 Å, 60.00 60.00 60.00°
Atoms (fractional coordinates):
Zn: 0.0000 0.0000 0.0000
Zn: 0.2500 0.2500 0.2500
P: 0.7500 0.7500 0.7500
Au: 0.5000 0.5000 0.5000

- SG: F-43m (216)
- Electronic total energy: -3.02 eV/atom
- Formation energy: 0.199 eV/atom

---

The following is a GGA-PBEsol calculation of an optimized crystal structure of ZnP2Au, from Alexandria.

Cell: 6.0143 6.0143 6.0143 Å, 149.22 144.05 48.04°
Atoms (fractional coordinates):
Zn: 0.0000 0.0000 0.0000
P: 0.5819 0.5819 0.0000
P: 0.7336 0.2336 0.5000
Au: 0.3297 0.8297 0.5000

- SG: Imm2 (44)
- Electronic total energy: -4.08 eV/atom
- Formation energy: 0.195 eV/atom

---

The following is a GGA-PBEsol calculation of an optimized crystal structure of ZnPAu, from Alexandria.

Cell: 4.5608 4.5608 2.6998 Å, 90.00 90.00 120.00°
Atoms (fractional coordinates):
Zn: 0.0000 0.0000 0.0000
P: 0.6667 0.3333 0.0040
Au: 0.3333 0.6667 0.0031

- SG: P3m1 (156)
- Electronic total energy: -3.62 eV/atom
- Formation energy: 0.148 eV/atom

---

The following is a GGA-PBEsol calculation of an optimized crystal structure of ZnP2Au, from Alexandria.

Cell: 4.6623 4.6623 4.6623 Å, 127.37 127.37 77.65°
Atoms (fractional coordinates):
Zn: 0.0000 0.0000 0.0000
P: 0.2500 0.7500 0.5000
P: 0.5000 0.5000 0.0000
Au: 0.7500 0.2500 0.5000

- SG: I-4m2 (119)
- Electronic total energy: -3.88 eV/atom
- Formation energy: 0.391 eV/atom

---

The following is a GGA-PBEsol calculation of an optimized crystal structure of ZnP2Au, from Alexandria.

Cell: 2.8964 2.8964 7.4156 Å, 90.00 90.00 90.00°
Atoms (fractional coordinates):
Zn: 0.0000 0.0000 0.0000
P: 0.5000 0.5000 0.2390
P: 0.5000 0.5000 0.7610
Au: 0.0000 0.0000 0.5000

- SG: P4/mmm (123)
- Electronic total energy: -3.84 eV/atom
- Formation energy: 0.436 eV/atom

---

The following is a GGA-PBEsol calculation of an optimized crystal structure of Zn2PAu, from Alexandria.

Cell: 4.8949 4.8949 4.8949 Å, 133.34 133.34 68.12°
Atoms (fractional coordinates):
Zn: 0.0000 0.0000 0.0000
Zn: 0.7500 0.2500 0.5000
P: 0.2500 0.7500 0.5000
Au: 0.5000 0.5000 0.0000

- SG: I-4m2 (119)
- Electronic total energy: -3.10 eV/atom
- Formation energy: 0.120 eV/atom

---

The following is a GGA-PBEsol calculation of an optimized crystal structure of ZnP2Au, from Alexandria.

Cell: 3.5532 3.5532 5.0955 Å, 90.00 90.00 90.00°
Atoms (fractional coordinates):
Zn: 0.0000 0.0000 0.0000
P: 0.0000 0.5000 0.5000
P: 0.5000 0.0000 0.5000
Au: 0.5000 0.5000 0.0000

- SG: P4/mmm (123)
- Electronic total energy: -3.91 eV/atom
- Formation energy: 0.361 eV/atom